(1)
! Zr2NpSe6 | Alexandria via LeMat-Bulk | PBE | relaxed; values from VASP
! ΔE_f (raw) = -9.77 eV per formula unit
! crystal system = monoclinic
! N(E_F) = 9.482 states/eV/cell
&SYSTEM
  ibrav = 0, nat = 9, ntyp = 3
/
ATOMIC_SPECIES
Zr 91.22 Zr.upf
Np 237.00 Np.upf
Se 78.96 Se.upf
ATOMIC_POSITIONS crystal
Zr 0.177 0.759 0.887
Zr 0.823 0.241 0.113
Np 0.000 0.500 0.500
Se 0.750 0.624 0.877
Se 0.250 0.376 0.123
Se 0.961 0.860 0.218
Se 0.370 0.715 0.544
Se 0.039 0.140 0.782
Se 0.630 0.285 0.456
CELL_PARAMETERS angstrom
5.018 0.000 0.000
2.509 6.856 -0.677
2.509 2.045 7.196

=====

(2)
! ZrNpSe3 | Alexandria via LeMat-Bulk | PBE | relaxed; values from VASP
! ΔE_f (raw) = -6.10 eV per formula unit
! crystal system = orthorhombic
! N(E_F) = 35.278 states/eV/cell
&SYSTEM
  ibrav = 0, nat = 20, ntyp = 3
/
ATOMIC_SPECIES
Zr 91.22 Zr.upf
Np 237.00 Np.upf
Se 78.96 Se.upf
ATOMIC_POSITIONS crystal
Zr 0.250 0.669 0.540
Zr 0.750 0.331 0.460
Zr 0.750 0.831 0.040
Zr 0.250 0.169 0.960
Np 0.250 0.852 0.300
Np 0.750 0.148 0.700
Np 0.750 0.648 0.800
Np 0.250 0.352 0.200
Se 0.750 0.149 0.303
Se 0.250 0.658 0.956
Se 0.250 0.013 0.121
Se 0.250 0.513 0.379
Se 0.250 0.158 0.544
Se 0.750 0.487 0.621
Se 0.250 0.351 0.803
Se 0.750 0.987 0.879
Se 0.750 0.342 0.044
Se 0.750 0.649 0.197
Se 0.750 0.842 0.456
Se 0.250 0.851 0.697
CELL_PARAMETERS angstrom
-0.131 0.622 -3.757
-8.208 -2.544 -0.135
-4.239 13.550 2.392